[1]
Entry from Alexandria via LeMat-Bulk: an optimized crystal structure of V2GaPd (PBE-GGA).

Lattice parameters (Å, degrees): 7.0472 7.0472 5.5660 50.72 50.72 90.00
Sites, in units of the cell vectors:
Pd1 0.7500 0.2500 0.5000
Pd2 0.0000 0.0000 0.0000
V1 0.3750 0.3721 0.7500
V2 0.1221 0.6250 0.2500
V3 0.6279 0.1250 0.2500
V4 0.8750 0.8779 0.7500
Ga1 0.2500 0.7500 0.5000
Ga2 0.5000 0.5000 0.0000

## Properties
energy of formation from the pure elements: 0.24 eV per atom
DOS at the Fermi energy: 4.93 states/eV/f.u.

***

[2]
Entry from Alexandria via LeMat-Bulk: an optimized crystal structure of VGa2Pd2 (PBE-GGA).

Lattice parameters (Å, degrees): 7.2653 7.2653 2.9433 90.00 90.00 90.00
Each line ends with the local moment (μB).
Sites, in units of the cell vectors:
Ga1 0.3631 0.8631 0.0000  0.01
Ga2 0.1369 0.3631 0.0000  0.01
Ga3 0.6369 0.1369 0.0000  0.01
Ga4 0.8631 0.6369 0.0000  0.01
V1 0.0000 0.0000 0.0000  2.38
V2 0.5000 0.5000 0.0000  2.38
Pd1 0.8377 0.3377 0.5000  0.07
Pd2 0.1623 0.6623 0.5000  0.07
Pd3 0.6623 0.8377 0.5000  0.07
Pd4 0.3377 0.1623 0.5000  0.07

## Properties
energy of formation from the pure elements: -0.30 eV per atom
E above lowest polymorph: 0.0 kJ/mol of atoms
DOS at the Fermi energy: 2.47 states/eV/f.u.

***

[3]
Entry from Alexandria via LeMat-Bulk: an optimized crystal structure of VZnGaPd (PBE-GGA).

Lattice parameters (Å, degrees): 4.3558 4.3558 4.3558 60.00 60.00 60.00
Each line ends with the local moment (μB).
Sites, in units of the cell vectors:
Ga1 0.0000 0.0000 0.0000  0.00
Pd1 0.7500 0.7500 0.7500  0.05
Zn1 0.5000 0.5000 0.5000  0.01
V1 0.2500 0.2500 0.2500  2.05

## Properties
energy of formation from the pure elements: -0.26 eV per atom
DOS at the Fermi energy: 1.63 states/eV/f.u.

***

[4]
Entry from Alexandria via LeMat-Bulk: an optimized crystal structure of Ga2PdW (PBE-GGA).

Lattice parameters (Å, degrees): 4.4156 4.4156 4.4156 60.00 60.00 60.00
Sites, in units of the cell vectors:
Ga1 0.7500 0.7500 0.7500
Ga2 0.2500 0.2500 0.2500
W1 0.5000 0.5000 0.5000
Pd1 0.0000 0.0000 0.0000

## Properties
energy of formation from the pure elements: 0.06 eV per atom
E above lowest polymorph: 0.0 kJ/mol of atoms
DOS at the Fermi energy: 3.71 states/eV/f.u.

***

[5]
Entry from Alexandria via LeMat-Bulk: an optimized crystal structure of GaPdW (PBE-GGA).

Lattice parameters (Å, degrees): 3.2451 3.2451 8.8649 90.00 90.00 90.00
Sites, in units of the cell vectors:
Ga1 0.0000 0.5000 0.2574
Ga2 0.5000 0.0000 0.7426
Pd1 0.0000 0.5000 0.6032
Pd2 0.5000 0.0000 0.3968
W1 0.5000 0.0000 0.0750
W2 0.0000 0.5000 0.9250

## Properties
energy of formation from the pure elements: -0.19 eV per atom
DOS at the Fermi energy: 2.74 states/eV/f.u.

***

[6]
Entry from Alexandria via LeMat-Bulk: an optimized crystal structure of Ga2PdW (PBE-GGA).

Lattice parameters (Å, degrees): 6.8630 6.8630 5.6218 52.38 52.38 90.00
Sites, in units of the cell vectors:
Ga1 0.6101 0.1250 0.2500
Ga2 0.1399 0.6250 0.2500
Ga3 0.8750 0.8601 0.7500
Ga4 0.3750 0.3899 0.7500
W1 0.7500 0.2500 0.5000
W2 0.0000 0.0000 0.0000
Pd1 0.2500 0.7500 0.5000
Pd2 0.5000 0.5000 0.0000

## Properties
energy of formation from the pure elements: 0.32 eV per atom
E above lowest polymorph: 25.0 kJ/mol of atoms
DOS at the Fermi energy: 3.15 states/eV/f.u.

***

[7]
Entry from Alexandria via LeMat-Bulk: an optimized crystal structure of GaPdW3 (PBE-GGA).

Lattice parameters (Å, degrees): 4.5483 4.5483 4.5483 90.00 90.00 90.00
Sites, in units of the cell vectors:
W1 0.5000 0.0000 0.0000
W2 0.0000 0.0000 0.5000
W3 0.0000 0.5000 0.0000
Pd1 0.5000 0.5000 0.5000
Ga1 0.0000 0.0000 0.0000

## Properties
energy of formation from the pure elements: 1.82 eV per atom
E above lowest polymorph: 0.0 kJ/mol of atoms
DOS at the Fermi energy: 3.63 states/eV/f.u.

***

[8]
Entry from Alexandria via LeMat-Bulk: an optimized crystal structure of GaPd6W (PBE-GGA).

Lattice parameters (Å, degrees): 3.9288 3.9288 7.8726 90.00 90.00 90.00
Each line ends with the local moment (μB).
Sites, in units of the cell vectors:
Pd1 0.5000 0.0000 0.2559  0.03
Pd2 0.5000 0.5000 0.5000  0.02
Pd3 0.5000 0.5000 0.0000  0.01
Pd4 0.0000 0.5000 0.2559  0.03
Pd5 0.0000 0.5000 0.7441  0.03
Pd6 0.5000 0.0000 0.7441  0.03
W1 0.0000 0.0000 0.5000  0.40
Ga1 0.0000 0.0000 0.0000  0.00

## Properties
energy of formation from the pure elements: -0.25 eV per atom
DOS at the Fermi energy: 5.47 states/eV/f.u.

***

[9]
Entry from Alexandria via LeMat-Bulk: an optimized crystal structure of GaPdW3 (PBE-GGA).

Lattice parameters (Å, degrees): 4.7313 4.7313 4.7313 90.00 90.00 90.00
Sites, in units of the cell vectors:
Ga1 0.5000 0.5000 0.5000
W1 0.0000 0.5000 0.0000
W2 0.0000 0.0000 0.5000
W3 0.5000 0.0000 0.0000
Pd1 0.0000 0.0000 0.0000

## Properties
energy of formation from the pure elements: 2.26 eV per atom
E above lowest polymorph: 42.2 kJ/mol of atoms
DOS at the Fermi energy: 4.47 states/eV/f.u.

***

[10]
Entry from Alexandria via LeMat-Bulk: an optimized crystal structure of Y3Ga3Pd2 (PBE-GGA).

Lattice parameters (Å, degrees): 4.2636 5.0590 8.4679 101.69 104.54 89.88
Sites, in units of the cell vectors:
Pd1 0.2239 0.1480 0.4494
Pd2 0.7761 0.8521 0.5506
Y1 0.1520 0.5968 0.3002
Y2 0.0000 0.0000 0.0000
Y3 0.8480 0.4033 0.6998
Ga1 0.3625 0.9082 0.7249
Ga2 0.5000 0.5000 0.0000
Ga3 0.6375 0.0918 0.2751

## Properties
energy of formation from the pure elements: -0.69 eV per atom
DOS at the Fermi energy: 5.50 states/eV/f.u.

***

[11]
Entry from Alexandria via LeMat-Bulk: an optimized crystal structure of YGa6Pd6 (PBE-GGA).

Lattice parameters (Å, degrees): 5.5081 6.8971 6.8971 74.49 66.47 66.47
Sites, in units of the cell vectors:
Ga1 0.3226 0.1774 0.1774
Ga2 0.6774 0.8226 0.8226
Ga3 0.0000 0.3514 0.6486
Ga4 0.6576 0.3424 0.3424
Ga5 0.0000 0.6486 0.3514
Ga6 0.3424 0.6576 0.6576
Y1 0.0000 0.0000 0.0000
Pd1 0.5000 0.5000 0.0000
Pd2 0.5000 0.2396 0.7604
Pd3 0.5000 0.0000 0.5000
Pd4 0.0000 0.5000 0.0000
Pd5 0.0000 0.0000 0.5000
Pd6 0.5000 0.7604 0.2396

## Properties
energy of formation from the pure elements: -0.63 eV per atom
DOS at the Fermi energy: 6.80 states/eV/f.u.

***

[12]
Entry from Alexandria via LeMat-Bulk: an optimized crystal structure of YGa6Pd12 (PBE-GGA).

Lattice parameters (Å, degrees): 7.2179 7.2179 7.2179 106.01 106.01 106.01
Sites, in units of the cell vectors:
Pd1 0.8434 0.5974 0.5974
Pd2 0.5000 0.8793 0.1207
Pd3 0.1207 0.5000 0.8793
Pd4 0.1566 0.4026 0.4026
Pd5 0.4026 0.4026 0.1566
Pd6 0.8793 0.5000 0.1207
Pd7 0.5000 0.1207 0.8793
Pd8 0.4026 0.1566 0.4026
Pd9 0.8793 0.1207 0.5000
Pd10 0.1207 0.8793 0.5000
Pd11 0.5974 0.5974 0.8434
Pd12 0.5974 0.8434 0.5974
Y1 0.0000 0.0000 0.0000
Ga1 0.2951 0.7312 0.7312
Ga2 0.2688 0.2688 0.7049
Ga3 0.7312 0.7312 0.2951
Ga4 0.7049 0.2688 0.2688
Ga5 0.2688 0.7049 0.2688
Ga6 0.7312 0.2951 0.7312

## Properties
energy of formation from the pure elements: -0.57 eV per atom
DOS at the Fermi energy: 6.75 states/eV/f.u.